# 1
A plane-wave DFT calculation with PBE was carried out for crystalline AgGeS2 at its relaxed geometry.

abc: 3.6035 3.6035 7.0429
angles: 75.18 75.18 60.00
With the nearest neighbours (Å) after each atom.
Element x y z (fractional)
1 Ag 0.6680 0.6680 0.9961  6 S 2.68-2.72
2 Ge 0.4995 0.4995 0.5015  6 S 2.65
3 S 0.0849 0.0849 0.7453  3 Ge 2.65, 3 Ag 2.68
4 S 0.2476 0.2476 0.2572  3 Ge 2.65, 3 Ag 2.72

Results
* formation energy without anion corrections: 1.1 kJ/mol of atoms
* VASP energy: -15.7 eV/f.u.
* symmetry: R3m, No. 160
* crystal system: trigonal
* Fermi-level density of states: 0.519 states/eV per atom



# 2
A plane-wave DFT calculation with PBE was carried out for crystalline CuRuBr2 at its relaxed geometry.

abc: 7.0717 7.0717 7.0717
angles: 149.96 149.96 43.00
With the nearest neighbours (Å) after each atom.
Element x y z (fractional)
1 Br 0.0000 0.0000 0.0000  4 Cu 2.59
2 Br 0.2500 0.7500 0.5000  4 Ru 2.59
3 Cu 0.5000 0.5000 0.0000  4 Br 2.59
4 Ru 0.7500 0.2500 0.5000  4 Br 2.59

Results
* formation energy without anion corrections: 64.3 kJ/mol of atoms
* VASP energy: -14.1 eV/f.u.
* symmetry: I-4m2, No. 119
* crystal system: tetragonal
* energy above the lowest structure with this stoichiometry: 412 meV/atom
* Fermi-level density of states: 1.002 states/eV per atom



# 3
A plane-wave DFT calculation with PBE was carried out for crystalline Cr4H3Rh at its relaxed geometry.

abc: 3.8498 6.8783 5.3100
angles: 95.27 90.00 106.25
With the nearest neighbours (Å) after each atom.
Element x y z (fractional)
1 Cr 0.1175 0.2350 0.9352  6 H 1.79-1.96
2 Cr 0.1175 0.2350 0.4352  6 H 1.79-1.96
3 Cr 0.7178 0.4356 0.6946  4 H 1.84-1.93
4 Cr 0.7178 0.4356 0.1946  4 H 1.84-1.93
5 Cr 0.3133 0.6266 0.9978  2 H 1.84-1.91
6 Cr 0.3133 0.6266 0.4978  2 H 1.84-1.91
7 Cr 0.8938 0.7876 0.3741  2 H 1.99-2.03
8 Cr 0.8938 0.7876 0.8741  2 H 1.99-2.03
9 H 0.6205 0.2410 0.9226  4 Cr 1.84-1.93, 2 Rh 1.98-2.04
10 H 0.6205 0.2410 0.4226  4 Cr 1.84-1.93, 2 Rh 1.98-2.04
11 H 0.2125 0.4249 0.7153  6 Cr 1.79-1.93
12 H 0.2125 0.4249 0.2153  6 Cr 1.79-1.93
13 H 0.0086 0.0172 0.6560  2 Rh 1.93, 4 Cr 1.94-2.03
14 H 0.0086 0.0172 0.1560  2 Rh 1.93, 4 Cr 1.94-2.03
15 Rh 0.5059 0.0119 0.6543  4 H 1.93-2.04
16 Rh 0.5059 0.0119 0.1543  4 H 1.93-2.04

Results
* VASP energy: -55.6 eV/f.u.
* symmetry: Cm, No. 8
* crystal system: monoclinic
* Fermi-level density of states: 0.809 states/eV per atom



# 4
A plane-wave DFT calculation with PBE was carried out for crystalline Pm2ThInC at its relaxed geometry.

abc: 5.0440 5.1182 5.1182
angles: 90.00 90.00 90.00
With the nearest neighbours (Å) after each atom.
Element x y z (fractional)
1 Pm 0.0000 0.0000 0.5000  2 C 2.56
2 Pm 0.0000 0.5000 0.0000  2 C 2.56
3 Th 0.5000 0.0000 0.0000  2 C 2.52
4 In 0.5000 0.5000 0.5000  8 Pm 3.59, 4 Th 3.62
5 C 0.0000 0.0000 0.0000  2 Th 2.52, 4 Pm 2.56

Results
* VASP energy: -30.6 eV/f.u.
* symmetry: P4/mmm, No. 123
* crystal system: tetragonal
* Fermi-level density of states: 0.637 states/eV per atom



# 5
A plane-wave DFT calculation with PBE was carried out for crystalline Rb2InPS4 at its relaxed geometry.

abc: 6.8601 6.8601 6.8601
angles: 99.66 114.59 114.59
With the nearest neighbours (Å) after each atom.
Element x y z (fractional)
1 Rb 0.5000 0.7500 0.2500  4 S 3.40
2 Rb 0.0000 0.0000 0.0000  4 S 3.33
3 In 0.5000 0.2500 0.7500  4 S 2.51
4 P 0.0000 0.5000 0.5000  4 S 2.37
5 S 0.6001 0.3621 0.4580  1 P 2.37, 1 In 2.51
6 S 0.0959 0.2381 0.6379  1 P 2.37, 1 In 2.51
7 S 0.9041 0.5420 0.1421  1 P 2.37, 1 In 2.51
8 S 0.3999 0.8579 0.7619  1 P 2.37, 1 In 2.51

Results
* formation energy without anion corrections: -58.1 kJ/mol of atoms
* VASP energy: -31.4 eV/f.u.
* symmetry: I-4, No. 82
* crystal system: tetragonal



# 6
A plane-wave DFT calculation with PBE was carried out for crystalline K2BSbO6 at its relaxed geometry.

abc: 4.9680 6.0954 6.0954
angles: 120.00 90.00 90.00
With the nearest neighbours (Å) after each atom.
Element x y z (fractional)
1 K 0.1382 0.3333 0.6667  3 O 2.74
2 K 0.8618 0.6667 0.3333  3 O 2.74
3 B 0.0000 0.0000 0.0000  6 O 1.72
4 Sb 0.5000 0.0000 0.0000  6 O 2.00
5 O 0.7924 0.1307 0.2614  1 B 1.72
6 O 0.7924 0.1307 0.8693  1 B 1.72
7 O 0.7924 0.7386 0.8693  1 B 1.72
8 O 0.2076 0.8693 0.1307  1 B 1.72
9 O 0.2076 0.2614 0.1307  1 B 1.72
10 O 0.2076 0.8693 0.7386  1 B 1.72

Results
* formation energy without anion corrections: -109.1 kJ/mol of atoms
* VASP energy: -54.1 eV/f.u.
* symmetry: P-3m1, No. 164
* crystal system: trigonal
* Fermi-level density of states: 0.226 states/eV per atom



# 7
A plane-wave DFT calculation with PBE was carried out for crystalline ZrInSi2 at its relaxed geometry.

abc: 3.7400 4.4531 4.4531
angles: 90.00 90.00 90.00
With the nearest neighbours (Å) after each atom.
Element x y z (fractional)
1 In 0.5000 0.0000 0.5000  8 Si 2.91, 4 Zr 3.15
2 Si 0.0000 0.0000 0.0000  4 Zr 2.91, 4 In 2.91, 4 Si 3.15
3 Si 0.0000 0.5000 0.5000  4 Zr 2.91, 4 In 2.91, 4 Si 3.15
4 Zr 0.5000 0.5000 0.0000  8 Si 2.91, 4 In 3.15

Results
* formation energy without anion corrections: -7.0 kJ/mol of atoms
* VASP energy: -22.4 eV/f.u.
* symmetry: P4/mmm, No. 123
* crystal system: tetragonal
* Fermi-level density of states: 0.650 states/eV per atom



# 8
A plane-wave DFT calculation with PBE was carried out for crystalline NbHg2I2 at its relaxed geometry.

abc: 7.7316 7.7316 5.0722
angles: 90.00 90.00 90.00
With the nearest neighbours (Å) after each atom.
Element x y z (fractional)
1 I 0.1850 0.6850 0.5000  6 Hg 3.22-3.55
2 I 0.6850 0.8150 0.5000  6 Hg 3.22-3.55
3 I 0.8150 0.3150 0.5000  6 Hg 3.22-3.55
4 I 0.3150 0.1850 0.5000  6 Hg 3.22-3.55
5 Nb 0.0000 0.0000 0.0000  4 Hg 3.02
6 Nb 0.5000 0.5000 0.0000  4 Hg 3.02
7 Hg 0.3670 0.8670 0.0000  1 Hg 2.91, 2 Nb 3.02, 2 I 3.22
8 Hg 0.8670 0.6330 0.0000  1 Hg 2.91, 2 Nb 3.02, 2 I 3.22
9 Hg 0.6330 0.1330 0.0000  1 Hg 2.91, 2 Nb 3.02, 2 I 3.22
10 Hg 0.1330 0.3670 0.0000  1 Hg 2.91, 2 Nb 3.02, 2 I 3.22

Results
* formation energy without anion corrections: 57.7 kJ/mol of atoms
* VASP energy: -10.8 eV/f.u.
* symmetry: P4/mbm, No. 127
* crystal system: tetragonal
* energy above the lowest structure with this stoichiometry: 0 meV/atom
* Fermi-level density of states: 0.337 states/eV per atom



# 9
A plane-wave DFT calculation with PBE was carried out for crystalline Y2ZrHg at its relaxed geometry.

abc: 3.4917 3.4918 8.7227
angles: 90.00 90.00 89.97
With the nearest neighbours (Å) after each atom.
Element x y z (fractional)
1 Y 0.0000 0.0000 0.9897  4 Hg 3.23-3.24, 4 Zr 3.35, 4 Y 3.49
2 Y 0.0000 0.0000 0.5103  4 Hg 3.23-3.24, 4 Zr 3.35, 4 Y 3.49
3 Hg 0.5000 0.5000 0.7500  8 Y 3.23-3.24, 4 Hg 3.49
4 Zr 0.5000 0.5000 0.2500  8 Y 3.35, 4 Zr 3.49

Results
* VASP energy: -22.6 eV/f.u.
* symmetry: P4/mmm, No. 123
* crystal system: tetragonal
* Fermi-level density of states: 1.073 states/eV per atom



# 10
A plane-wave DFT calculation with PBE was carried out for crystalline Ba2ZnAgO4 at its relaxed geometry.

abc: 5.6465 5.6465 5.6465
angles: 105.17 111.67 111.67
With the nearest neighbours (Å) after each atom.
Element x y z (fractional)
1 Ba 0.5000 0.7500 0.2500  8 O 2.91-3.00
2 Ba 0.0000 0.0000 0.0000  4 O 2.59
3 Zn 0.5000 0.2500 0.7500  4 O 2.02
4 Ag 0.0000 0.5000 0.5000  4 O 2.21
5 O 0.5455 0.3052 0.4273  1 Zn 2.02, 1 Ag 2.21
6 O 0.1220 0.2403 0.6948  1 Zn 2.02, 1 Ag 2.21
7 O 0.8780 0.5727 0.1182  1 Zn 2.02, 1 Ag 2.21
8 O 0.4545 0.8818 0.7597  1 Zn 2.02, 1 Ag 2.21

Results
* formation energy without anion corrections: -148.1 kJ/mol of atoms
* VASP energy: -40.1 eV/f.u.
* symmetry: I-4, No. 82
* crystal system: tetragonal
* Fermi-level density of states: 0.092 states/eV per atom



# 11
A plane-wave DFT calculation with PBE was carried out for crystalline Cd3HgW at its relaxed geometry.

abc: 5.3126 5.3126 5.3126
angles: 90.00 90.00 90.00
With the nearest neighbours (Å) after each atom.
Element x y z (fractional)
1 Hg 0.0000 0.0000 0.0000  6 Cd 2.66
2 W 0.5000 0.5000 0.5000  12 Cd 3.76
3 Cd 0.0000 0.5000 0.0000  2 Hg 2.66
4 Cd 0.0000 0.0000 0.5000  2 Hg 2.66
5 Cd 0.5000 0.0000 0.0000  2 Hg 2.66

Results
* VASP energy: -8.6 eV/f.u.
* symmetry: Pm-3m, No. 221
* crystal system: cubic
* energy above the lowest structure with this stoichiometry: 391 meV/atom
* Fermi-level density of states: 0.649 states/eV per atom



# 12
A plane-wave DFT calculation with PBE was carried out for crystalline NaLa2NiN at its relaxed geometry.

abc: 5.2855 5.2855 3.8439
angles: 90.00 90.00 90.00
With the nearest neighbours (Å) after each atom.
Element x y z (fractional)
1 Ni 0.0000 0.0000 0.5000  2 N 1.92
2 N 0.0000 0.0000 0.0000  2 Ni 1.92
3 Na 0.5000 0.5000 0.5000  8 La 3.27
4 La 0.0000 0.5000 0.0000  2 N 2.64
5 La 0.5000 0.0000 0.0000  2 N 2.64

Results
* formation energy without anion corrections: -27.6 kJ/mol of atoms
* VASP energy: -26.7 eV/f.u.
* symmetry: P4/mmm, No. 123
* crystal system: tetragonal
* Fermi-level density of states: 1.230 states/eV per atom



What did the third record say?
A plane-wave DFT calculation with PBE was carried out for crystalline Cr4H3Rh at its relaxed geometry.

abc: 3.8498 6.8783 5.3100
angles: 95.27 90.00 106.25
With the nearest neighbours (Å) after each atom.
Element x y z (fractional)
1 Cr 0.1175 0.2350 0.9352  6 H 1.79-1.96
2 Cr 0.1175 0.2350 0.4352  6 H 1.79-1.96
3 Cr 0.7178 0.4356 0.6946  4 H 1.84-1.93
4 Cr 0.7178 0.4356 0.1946  4 H 1.84-1.93
5 Cr 0.3133 0.6266 0.9978  2 H 1.84-1.91
6 Cr 0.3133 0.6266 0.4978  2 H 1.84-1.91
7 Cr 0.8938 0.7876 0.3741  2 H 1.99-2.03
8 Cr 0.8938 0.7876 0.8741  2 H 1.99-2.03
9 H 0.6205 0.2410 0.9226  4 Cr 1.84-1.93, 2 Rh 1.98-2.04
10 H 0.6205 0.2410 0.4226  4 Cr 1.84-1.93, 2 Rh 1.98-2.04
11 H 0.2125 0.4249 0.7153  6 Cr 1.79-1.93
12 H 0.2125 0.4249 0.2153  6 Cr 1.79-1.93
13 H 0.0086 0.0172 0.6560  2 Rh 1.93, 4 Cr 1.94-2.03
14 H 0.0086 0.0172 0.1560  2 Rh 1.93, 4 Cr 1.94-2.03
15 Rh 0.5059 0.0119 0.6543  4 H 1.93-2.04
16 Rh 0.5059 0.0119 0.1543  4 H 1.93-2.04

Results
* VASP energy: -55.6 eV/f.u.
* symmetry: Cm, No. 8
* crystal system: monoclinic
* Fermi-level density of states: 0.809 states/eV per atom



Q: Among the records above, which one has the highest VASP energy?
A: Cd3HgW